First-principles (GGA+U) data for crystalline CaMgVO4 at its relaxed geometry, as listed in the Alexandria database.

Output
Magnetic moment = 1.00 μB/f.u.
Mass density = 3.47 g/cm³
Electronic total energy = -0.2507 hartree per atom
SG = Imma, No. 74

Lattice parameters (Å, degrees): 6.302 6.206 6.206 61.15 59.49 59.49
Last column: magnetic moment on the atom in μB.
Fractional positions:
V: 0.380 0.370 0.870  1.00
O: 0.257 0.754 0.254  -0.01
O: 0.265 0.246 0.746  -0.01
O: 0.743 0.246 0.746  -0.01
V: 0.620 0.630 0.130  1.00
Ca: 0.000 0.500 0.500  0.00
O: 0.735 0.754 0.254  -0.01
O: 0.268 0.228 0.236  -0.01
O: 0.732 0.264 0.272  -0.01
Mg: 0.500 0.000 0.500  0.00
Mg: 0.000 0.000 0.500  0.00
O: 0.268 0.736 0.728  -0.01
O: 0.732 0.772 0.764  -0.01
Ca: 0.000 0.000 0.000  0.00